[1]
Entry from Alexandria: Ni2TeS after structural relaxation (PBE-GGA).

- Calculated total energy: -4.937 eV per atom
- E_form (uncorrected): -0.23 eV/atom

The structure in CIF format:
```
data_Ni2TeS
_symmetry_space_group_name_H-M 'I -4 2 d'
_symmetry_Int_Tables_number 122
_symmetry_space_group_name_Hall 'I -4 2bw'
_cell_length_a 4.750
_cell_length_b 4.750
_cell_length_c 12.847
_cell_angle_alpha 90.00
_cell_angle_beta 90.00
_cell_angle_gamma 90.00
loop_
_atom_site_label
_atom_site_type_symbol
_atom_site_fract_x
_atom_site_fract_y
_atom_site_fract_z
Ni1 Ni 0.157 0.250 0.125
Te1 Te 0.000 0.000 0.500
S1 S 0.000 0.000 0.000
```

[2]
Entry from Alexandria: Ni2TeS after structural relaxation (PBE-GGA).

- Calculated total energy: -4.638 eV per atom
- E_form (uncorrected): 0.07 eV/atom

The structure in CIF format:
```
data_Ni2TeS
_symmetry_space_group_name_H-M 'R -3 m'
_symmetry_Int_Tables_number 166
_symmetry_space_group_name_Hall '-R 3 2"'
_cell_length_a 4.1599
_cell_length_b 4.1599
_cell_length_c 17.0404
_cell_angle_alpha 90.00
_cell_angle_beta 90.00
_cell_angle_gamma 120.00
loop_
_atom_site_label
_atom_site_type_symbol
_atom_site_fract_x
_atom_site_fract_y
_atom_site_fract_z
Ni1 Ni 0.0000 0.0000 0.1204
Te1 Te 0.0000 0.0000 0.5000
S1 S 0.0000 0.0000 0.0000
```

[3]
Entry from Alexandria: Ni2Te2S after structural relaxation (PBE-GGA).

- Calculated total energy: -4.535 eV per atom
- E_form (uncorrected): -0.14 eV/atom

The structure in CIF format:
```
data_Ni2Te2S
_symmetry_space_group_name_H-M 'P n m a'
_symmetry_Int_Tables_number 62
_cell_length_a 7.017
_cell_length_b 5.448
_cell_length_c 10.074
_cell_angle_alpha 90.00
_cell_angle_beta 90.00
_cell_angle_gamma 90.00
loop_
_symmetry_equiv_pos_as_xyz
'x,y,z'
'-x,-y,-z'
'-x+1/2,-y,z+1/2'
'x+1/2,y,-z+1/2'
'x+1/2,-y+1/2,-z+1/2'
'-x+1/2,y+1/2,z+1/2'
'-x,y+1/2,-z'
'x,-y+1/2,z'
loop_
_atom_site_label
_atom_site_type_symbol
_atom_site_fract_x
_atom_site_fract_y
_atom_site_fract_z
Ni1 Ni 0.034 0.250 0.231
Ni2 Ni 0.168 0.250 0.579
Te1 Te 0.006 0.250 0.806
Te2 Te 0.179 0.750 0.553
S1 S 0.235 0.750 0.873
```

[4]
Entry from Alexandria: NiTeS2 after structural relaxation (PBE-GGA).

- Calculated total energy: -3.994 eV per atom
- E_form (uncorrected): 0.30 eV/atom

The structure in CIF format:
```
data_NiTeS2
_symmetry_space_group_name_H-M 'R -3 m'
_symmetry_Int_Tables_number 166
_symmetry_space_group_name_Hall '-R 3 2"'
_cell_length_a 4.1571
_cell_length_b 4.1571
_cell_length_c 20.6759
_cell_angle_alpha 90.00
_cell_angle_beta 90.00
_cell_angle_gamma 120.00
loop_
_atom_site_label
_atom_site_type_symbol
_atom_site_fract_x
_atom_site_fract_y
_atom_site_fract_z
Ni1 Ni 0.0000 0.0000 0.0000
Te1 Te 0.0000 0.0000 0.5000
S1 S 0.0000 0.0000 0.0997
```

[5]
Entry from Alexandria: NiTeS2 after structural relaxation (PBE-GGA).

- Calculated total energy: -4.419 eV per atom
- E_form (uncorrected): -0.12 eV/atom

The structure in CIF format:
```
data_NiTeS2
_symmetry_space_group_name_H-M 'R -3 m'
_symmetry_Int_Tables_number 166
_symmetry_space_group_name_Hall '-R 3 2"'
_cell_length_a 3.4714
_cell_length_b 3.4714
_cell_length_c 22.9527
_cell_angle_alpha 90.00
_cell_angle_beta 90.00
_cell_angle_gamma 120.00
loop_
_atom_site_label
_atom_site_type_symbol
_atom_site_fract_x
_atom_site_fract_y
_atom_site_fract_z
Ni1 Ni 0.0000 0.0000 0.0000
Te1 Te 0.0000 0.0000 0.5000
S1 S 0.0000 0.0000 0.3839
```

[6]
Entry from Alexandria: Ni2TeS after structural relaxation (PBE-GGA).

- Calculated total energy: -4.951 eV per atom
- E_form (uncorrected): -0.24 eV/atom

The structure in CIF format:
```
data_Ni2TeS
_symmetry_space_group_name_H-M 'P 1'
_symmetry_Int_Tables_number 1
_cell_length_a 3.846
_cell_length_b 5.751
_cell_length_c 7.296
_cell_angle_alpha 69.02
_cell_angle_beta 74.72
_cell_angle_gamma 89.99
loop_
_symmetry_equiv_pos_as_xyz
'x,y,z'
loop_
_atom_site_label
_atom_site_type_symbol
_atom_site_fract_x
_atom_site_fract_y
_atom_site_fract_z
Ni1 Ni 0.000 0.000 0.000
Ni2 Ni 0.236 0.564 0.526
Ni3 Ni 0.477 0.644 0.045
Ni4 Ni 0.744 0.222 0.508
Te1 Te 0.048 0.481 0.903
Te2 Te 0.806 0.853 0.386
S1 S 0.325 0.335 0.348
S2 S 0.579 0.029 0.842
```